[1]
{
  "formula": "Tc3SeF",
  "functional": "PBEsol",
  "state": "relaxed",
  "cell": [[4.536, 0.000, 0.000], [0.000, 4.536, 0.000], [0.000, 0.000, 4.536]],
  "species": ["Tc", "Tc", "Tc", "Se", "F"],
  "fractional_positions": [[0.000, 0.000, 0.500], [0.000, 0.500, 0.000], [0.500, 0.000, 0.000], [0.000, 0.000, 0.000], [0.500, 0.500, 0.500]],
  "rho_g_cm3": 6.97,
  "spacegroup": "No. 221",
  "final_energy_ev_per_atom": -6.4338,
  "formation_energy_uncorrected_ev_per_atom": 1.48
}



[2]
{
  "formula": "CoSnSe2",
  "functional": "PBEsol",
  "state": "relaxed",
  "cell": [[1.980, 1.143, 7.598], [-1.980, 1.143, 7.598], [0.000, -2.286, 7.598]],
  "species": ["Co", "Sn", "Se", "Se"],
  "fractional_positions": [[0.000, 0.000, 0.000], [0.500, 0.500, 0.500], [0.097, 0.097, 0.097], [0.903, 0.903, 0.903]],
  "rho_g_cm3": 5.40,
  "spacegroup": "No. 166",
  "final_energy_ev_per_atom": -4.6572,
  "formation_energy_uncorrected_ev_per_atom": 0.27
}



[3]
{
  "formula": "ZnMoW2",
  "functional": "PBEsol",
  "state": "relaxed",
  "cell": [[2.725, -4.181, 0.000], [2.725, 4.181, 0.000], [0.000, 0.000, 2.665]],
  "species": ["Zn", "Mo", "W", "W"],
  "fractional_positions": [[0.000, 0.000, 0.000], [0.500, 0.500, 0.000], [0.000, 0.500, 0.500], [0.500, 0.000, 0.500]],
  "rho_g_cm3": 14.46,
  "spacegroup": "No. 65",
  "final_energy_ev_per_atom": -9.9032,
  "delta_e_f_ev_per_atom": 0.3380
}



[4]
{
  "formula": "SmSi2Rh2",
  "functional": "PBEsol",
  "state": "relaxed",
  "cell": [[-2.018, 2.018, 5.002], [2.018, -2.018, 5.002], [2.018, 2.018, -5.002]],
  "species": ["Sm", "Si", "Si", "Rh", "Rh"],
  "fractional_positions": [[0.000, 0.000, 0.000], [0.377, 0.377, 0.000], [0.623, 0.623, 0.000], [0.250, 0.750, 0.500], [0.750, 0.250, 0.500]],
  "rho_g_cm3": 8.41,
  "spacegroup": "No. 139",
  "final_energy_ev_per_atom": -7.7320,
  "formation_energy_uncorrected_ev_per_atom": -1.16
}



Number 1: density of states at the Fermi level 7.77 states/eV per cell. Number 2: density of states at the Fermi level 6.42 states/eV per cell. Number 3: density of states at the Fermi level 2.21 states/eV per cell. Number 4: density of states at the Fermi level 2.42 states/eV per cell.